Material: Li2ZrSi
Method: DFT, meta-GGA SCAN
State: single point on PBEsol structure

Lattice parameters (Å, degrees): 2.9734 2.9734 7.6787 90.00 90.00 90.00
With the nearest neighbours (Å) after each atom.
Fractional coordinates of all 4 atoms:
Li: 0.5000 0.5000 0.2784  4 Si 2.59, 4 Li 2.84
Zr: 0.5000 0.5000 0.7161  4 Si 2.80, 4 Zr 2.97
Si: 0.0000 0.0000 0.4757  4 Li 2.59, 4 Zr 2.80
Li: 0.0000 0.0000 0.0298  8 Li 2.84-2.97

## Properties
- SG: No. 99
- Calculated total energy: -46.0 eV/cell
- E_form (uncorrected): -0.135 eV/atom
- Density of states at the Fermi level: 1.3 states/eV per cell